The following is a GGA-PBE calculation of a geometry-optimized AlTeIr2 structure, from Alexandria via LeMat-Bulk.

Cell: 5.428 5.428 7.326 Å, 68.26 68.26 90.00°
Fractional coordinates of all 8 atoms:
Al: 0.500 0.500 0.000
Te: 0.000 0.000 0.000
Al: 0.250 0.750 0.500
Ir: 0.375 0.398 0.750
Ir: 0.875 0.852 0.750
Ir: 0.148 0.625 0.250
Te: 0.750 0.250 0.500
Ir: 0.602 0.125 0.250

Calculated values
Polymorph energy (0 for the lowest one) in meV/atom: 369.4
Energy relative to the elements, uncorrected in eV per atom: 0.232
Space-group type: No. 122